# 1
A plane-wave DFT calculation with PBE was carried out for a relaxed TbHoTl4 crystal.

a = 4.672 Å, b = 4.690 Å, c = 14.587 Å
α = 90.00°, β = 90.00°, γ = 90.00°
Space group Amm2 (No. 38)
Symmetry-distinct sites (fractional):
Tb 0.000 0.000 0.000 (multiplicity 2)
Ho 0.000 0.000 0.310 (multiplicity 2)
Tl 0.000 0.000 0.655 (multiplicity 2)
Tl 0.500 0.000 0.155 (multiplicity 2)
Tl 0.500 0.000 0.479 (multiplicity 2)
Tl 0.500 0.000 0.831 (multiplicity 2)

The calculation puts the calculated total energy at -3.377 eV per atom. The calculation puts the calculated volume at 159.79 Å³/f.u.

# 2
A plane-wave DFT calculation with PBE was carried out for a relaxed TbHoTm crystal.

a = 7.591 Å, b = 7.591 Å, c = 7.591 Å
α = 90.00°, β = 90.00°, γ = 90.00°
Space group F-43m (No. 216)
Symmetry-distinct sites (fractional):
Tb 0.000 0.000 0.000 (multiplicity 4)
Ho 0.000 0.000 0.500 (multiplicity 4)
Tm 0.250 0.250 0.750 (multiplicity 4)

The calculation puts the calculated total energy at -3.843 eV per atom. The value obtained for the excess energy over the best structure of this formula in the dataset is 0.000 eV/atom. The calculation puts the calculated formation energy at 0.72 eV per atom. The calculation puts the calculated volume at 109.38 Å³/f.u.

# 3
A plane-wave DFT calculation with PBE was carried out for a relaxed TbHoW crystal.

a = 6.875 Å, b = 6.875 Å, c = 6.875 Å
α = 90.00°, β = 90.00°, γ = 90.00°
Space group F-43m (No. 216)
Symmetry-distinct sites (fractional):
Tb 0.000 0.000 0.000 (multiplicity 4)
Ho 0.000 0.000 0.500 (multiplicity 4)
W 0.250 0.250 0.750 (multiplicity 4)

The calculation puts the calculated total energy at -6.551 eV per atom. The calculation puts the calculated formation energy at 0.84 eV per atom. The calculation puts the calculated volume at 81.24 Å³/f.u.

# 4
A plane-wave DFT calculation with PBE was carried out for a relaxed Ho6TcTe2 crystal.

a = 8.2670 Å, b = 8.2670 Å, c = 4.0717 Å
α = 90.00°, β = 90.00°, γ = 120.00°
Space group P-62m (No. 189)
Symmetry-distinct sites (fractional):
Ho 0.0000 0.3910 0.0000 (multiplicity 3)
Ho 0.0000 0.7618 0.5000 (multiplicity 3)
Tc 0.0000 0.0000 0.0000 (multiplicity 1)
Te 0.3333 0.6667 0.5000 (multiplicity 2)

The calculation puts the calculated total energy at -5.562 eV per atom. The calculation puts the calculated volume at 240.99 Å³/f.u.

| no. | magnetization (μB per cell) |
| --- | --- |
| 1 | 0.0 |
| 2 | 0.0 |
| 3 | 0.1 |
| 4 | 0.1 |